No. 1
Ca2La2As PBE relaxed; E_form = -0.2937 eV/atom
1.0
7.8411 0.0000 0.0000
0.0000 7.8411 0.0000
0.0000 0.0000 6.0551
As Ca La
2 4 4
Cartesian
0.0000 0.0000 0.0000 As
3.9206 3.9206 0.0000 As
1.2804 5.2010 3.0276 Ca
5.2010 6.5607 3.0276 Ca
6.5607 2.6401 3.0276 Ca
2.6401 1.2804 3.0276 Ca
2.7631 6.6837 0.0000 La
6.6837 5.0780 0.0000 La
5.0780 1.1575 0.0000 La
1.1575 2.7631 0.0000 La

No. 2
Pa2Si4IrOs3 PBE relaxed; formation energy from raw total energies = -0.7042 eV per atom
1.0
4.1435 0.0000 0.0000
0.0000 4.1435 0.0000
0.0000 0.0000 9.8204
Pa Si Ir Os
2 4 1 3
Cartesian
2.0717 0.0000 2.4286 Pa
0.0000 2.0717 7.3918 Pa
2.0717 2.0717 0.0000 Si
0.0000 0.0000 0.0000 Si
2.0717 0.0000 6.1682 Si
0.0000 2.0717 3.6522 Si
2.0717 2.0717 4.9102 Ir
0.0000 0.0000 4.9102 Os
2.0717 0.0000 8.5301 Os
0.0000 2.0717 1.2902 Os

No. 3
Ba3Ca2Pr2Tl4 PBE relaxed; E_form = -0.2202 eV/atom
1.0
5.9822 0.0000 0.0000
-2.9911 5.1807 0.0000
0.0000 0.0000 13.0705
Ba Ca Pr Tl
3 2 2 4
Cartesian
0.0000 0.0000 8.8184 Ba
0.0000 0.0000 0.0000 Ba
0.0000 0.0000 4.2521 Ba
2.9911 1.7269 11.2510 Ca
0.0000 3.4538 1.8195 Ca
2.9911 1.7269 4.9028 Pr
0.0000 3.4538 8.1677 Pr
2.9911 1.7269 1.6488 Tl
0.0000 3.4538 11.4216 Tl
2.9911 1.7269 8.0401 Tl
0.0000 3.4538 5.0304 Tl

No. 4
Fe2CoNi2 PBE relaxed; energy relative to the lowest polymorph listed for this composition = 0.0 meV per atom; E_form = 0.4039 eV/atom
1.0
-1.6843 1.2777 3.2032
-2.4336 -0.6241 -2.9013
-0.6032 -4.4964 1.4748
Fe Co Ni
2 1 2
Cartesian
-2.5132 -3.0514 1.2591 Fe
-2.2080 -0.7914 0.5176 Fe
0.0000 0.0000 0.0000 Co
-2.6060 -2.5443 -1.1113 Ni
-2.1151 -1.2985 2.8880 Ni

No. 5
Pr2ScZn PBE relaxed; energy relative to the lowest polymorph listed for this composition = 0.0 meV per atom; E_form = -0.1016 eV/atom
1.0
-0.0379 -0.0803 -3.6809
2.9449 -2.2100 0.0179
-4.9692 -6.6203 0.1956
Pr Sc Zn
2 1 1
Cartesian
-3.8537 -5.1341 0.1517 Pr
-1.1155 -1.4861 0.0439 Pr
-1.0311 -4.4553 -1.7337 Sc
1.4535 -1.1451 -1.8315 Zn

No. 6
AlZnW2 PBE relaxed; energy relative to the lowest polymorph listed for this composition = 111.0 meV per atom; E_form = 0.1738 eV/atom
1.0
-4.8383 0.3113 -0.0854
-4.1965 -1.9684 -1.4242
-0.8076 -2.6206 4.0755
Zn Al W
1 1 2
Cartesian
-4.9273 -2.1594 1.3150 Zn
-7.3715 -3.1836 1.8874 Al
-0.0347 -0.0133 0.0061 W
-2.4288 -1.0599 0.6405 W

No. 7
NaAcSe2 PBE relaxed; formation energy from raw total energies = -1.7278 eV per atom
1.0
4.5216 0.0000 0.0000
2.2608 3.9158 0.0000
2.2608 1.3053 7.0048
Na Ac Se
1 1 2
Cartesian
0.0000 0.0000 0.0000 Na
4.5216 2.6106 3.5024 Ac
6.7824 3.9158 5.2127 Se
2.2608 1.3053 1.7920 Se

No. 8
PrMg6Ag2 PBE relaxed; E_form = -0.1310 eV/atom
1.0
4.3803 0.0000 0.0000
0.0000 4.3803 0.0000
0.0000 0.0000 10.9862
Pr Mg Ag
1 6 2
Cartesian
0.0000 0.0000 0.0000 Pr
0.0000 2.1902 3.1120 Mg
2.1902 0.0000 3.1120 Mg
0.0000 2.1902 7.8742 Mg
2.1902 0.0000 7.8742 Mg
2.1902 2.1902 5.4931 Mg
0.0000 0.0000 5.4931 Mg
2.1902 2.1902 1.3772 Ag
2.1902 2.1902 9.6091 Ag

No. 9
Cs3Tl2Br2Cl5 PBE relaxed; formation energy from raw total energies = -1.3583 eV per atom
1.0
-0.0797 -3.5495 4.3360
5.5619 0.4777 0.4933
-4.5221 12.7914 6.7664
Cs Tl Br Cl
3 2 2 5
Cartesian
-0.6326 3.9980 3.2612 Cs
1.5927 5.7215 8.3346 Cs
0.0000 0.0000 0.0000 Cs
-1.4371 9.0822 7.4083 Tl
2.3972 0.6374 4.1874 Tl
2.0392 2.8997 6.0328 Br
-1.0791 6.8198 5.5629 Br
-0.3753 0.3452 3.8973 Cl
1.3354 9.3744 7.6985 Cl
2.4455 2.3588 1.9759 Cl
-1.4854 7.3608 9.6199 Cl
2.7411 -1.5359 2.4147 Cl

No. 10
CuRhSe2 PBE relaxed; formation energy from raw total energies = -0.0153 eV per atom
1.0
-2.9910 -5.3534 4.0182
1.5991 -4.9913 5.1265
0.0443 6.7287 -2.9110
Cu Rh Se
1 1 2
Cartesian
-0.6377 -4.7394 4.1896 Cu
-1.9062 -2.5296 3.3977 Rh
-1.3825 -10.2751 9.0832 Se
0.4910 -1.5889 3.2803 Se

No. 11
Ag3Sb5 PBE relaxed; formation energy from raw total energies = 0.1386 eV per atom; energy relative to the lowest polymorph listed for this composition = 8.5 meV per atom
1.0
8.7656 0.0000 0.0000
-4.3828 7.5915 0.0000
0.0000 0.0000 6.2302
Sb Ag
10 6
Cartesian
-0.0001 5.0610 0.0000 Sb
4.3828 2.5305 3.1151 Sb
4.3828 2.5305 6.2302 Sb
-0.0001 5.0610 3.1151 Sb
1.4914 0.8592 1.5576 Sb
7.2761 0.8625 4.6727 Sb
7.2758 0.8620 1.5576 Sb
4.3812 5.8703 1.5576 Sb
1.4918 0.8587 4.6727 Sb
4.3807 5.8703 4.6727 Sb
0.0015 7.5452 1.5576 Ag
0.0017 7.5452 4.6727 Ag
-2.1520 3.8201 1.5576 Ag
2.1505 3.8176 1.5576 Ag
2.1505 3.8176 4.6727 Ag
-2.1520 3.8201 4.6727 Ag

No. 12
K3InBr4 PBE relaxed; formation energy from raw total energies = -1.4377 eV per atom; energy relative to the lowest polymorph listed for this composition = 40.5 meV per atom
1.0
6.6210 0.0000 0.0000
0.0000 9.8234 0.0000
0.0000 0.0000 11.3185
K In Br
6 2 8
Cartesian
3.7334 8.2246 0.0000 K
0.4224 6.5556 2.8313 K
3.7329 3.2678 2.8280 K
0.4229 1.5988 5.6593 K
3.7329 3.2678 8.4906 K
0.4224 6.5556 8.4873 K
0.4190 1.6549 0.0000 In
3.7296 8.1685 5.6593 In
0.4227 8.2047 0.0000 Br
3.7682 1.6558 0.0000 Br
0.4222 3.2788 2.8428 Br
3.7327 6.5445 2.8164 Br
0.4577 8.1676 5.6593 Br
3.7332 1.6186 5.6593 Br
3.7327 6.5445 8.5021 Br
0.4222 3.2788 8.4757 Br